# 1
The following is a DFT calculation (PBEsol) of a geometry-optimized K3Au2 structure.

Values from the calculation:
* DFT total energy: -2.38 eV per atom
* energy above the most stable polymorph in this dataset: 0 meV/atom
* energy relative to the elements: -12.19 kJ per mole of atoms
* crystal system: monoclinic

a b c (Å): 6.3120 10.6113 5.1161
angles (deg): 90.00 113.80 90.00
Positions (direct):
K 0.0000 0.0000 0.0000
K 0.0000 0.5000 0.5000
K 0.3697 0.1217 0.6848
K 0.3697 0.3783 0.1848
K 0.6303 0.6217 0.8152
K 0.6303 0.8783 0.3152
Au 0.1998 0.6943 0.0999
Au 0.1998 0.8057 0.5999
Au 0.8002 0.1943 0.4001
Au 0.8002 0.3057 0.9001

# 2
The following is a DFT calculation (PBEsol) of a geometry-optimized KAu3 structure.

Values from the calculation:
* DFT total energy: -3.02 eV per atom
* energy above the most stable polymorph in this dataset: 366 meV/atom
* energy relative to the elements: 20.03 kJ per mole of atoms
* crystal system: cubic

a b c (Å): 4.8568 4.8568 4.8568
angles (deg): 60.00 60.00 60.00
Positions (direct):
K 0.0000 0.0000 0.0000
Au 0.2500 0.2500 0.2500
Au 0.5000 0.5000 0.5000
Au 0.7500 0.7500 0.7500

# 3
The following is a DFT calculation (PBEsol) of a geometry-optimized K2Au3 structure.

Values from the calculation:
* DFT total energy: -2.88 eV per atom
* energy above the most stable polymorph in this dataset: 178 meV/atom
* energy relative to the elements: -7.25 kJ per mole of atoms
* crystal system: trigonal

a b c (Å): 8.4831 8.4831 8.4831
angles (deg): 31.64 31.64 31.64
Positions (direct):
K 0.0896 0.0896 0.0896
K 0.9104 0.9104 0.9104
Au 0.3346 0.3346 0.3346
Au 0.5000 0.5000 0.5000
Au 0.6654 0.6654 0.6654

# 4
The following is a DFT calculation (PBEsol) of a geometry-optimized KAu3 structure.

Values from the calculation:
* DFT total energy: -3.20 eV per atom
* energy above the most stable polymorph in this dataset: 186 meV/atom
* energy relative to the elements: 2.71 kJ per mole of atoms
* crystal system: orthorhombic

a b c (Å): 6.2687 6.2687 6.2687
angles (deg): 154.07 129.52 57.61
Positions (direct):
K 0.0000 0.0000 0.0000
Au 0.2804 0.7804 0.5000
Au 0.5000 0.5000 0.0000
Au 0.7196 0.2196 0.5000